Record 1
A plane-wave DFT calculation with GGA-PBE was carried out for a relaxed YSi2Rh crystal.

Computed properties:
For the total energy, the calculation gives -7.066 eV/atom.

Cell lengths 7.0390, 4.0829, 5.4608 Å; angles 90.00, 115.70, 90.00 degrees
Space group C2/m (No. 12)
Unique sites:
1 Y 0.0000 0.0000 0.0000 x2
2 Si 0.2119 0.0000 0.6364 x4
3 Rh 0.0000 0.5000 0.5000 x2

Record 2
A plane-wave DFT calculation with GGA-PBE was carried out for a relaxed Y4Si5Rh9 crystal.

Computed properties:
For the total energy, the calculation gives -7.645 eV/atom.

Cell lengths 9.6029, 5.5413, 11.6862 Å; angles 90.00, 105.88, 90.00 degrees
Space group C2/m (No. 12)
Unique sites:
1 Y 0.0513 0.0000 0.1528 x4
2 Y 0.1485 0.0000 0.4451 x4
3 Si 0.0000 0.5000 0.5000 x2
4 Si 0.1129 0.5000 0.8350 x4
5 Si 0.2226 0.5000 0.1651 x4
6 Rh 0.0000 0.5000 0.0000 x2
7 Rh 0.1078 0.5000 0.3239 x4
8 Rh 0.1410 0.2506 0.6743 x8
9 Rh 0.2500 0.2500 0.0000 x4

Record 3
A plane-wave DFT calculation with GGA-PBE was carried out for a relaxed YSiRh2 crystal.

Computed properties:
For the total energy, the calculation gives -7.273 eV/atom.

Cell lengths 3.8470, 3.8470, 8.9599 Å; angles 90.00, 90.00, 90.00 degrees
Space group I-4m2 (No. 119)
Unique sites:
1 Y 0.0000 0.0000 0.0000 x2
2 Si 0.0000 0.5000 0.2500 x2
3 Rh 0.0000 0.0000 0.5000 x2
4 Rh 0.0000 0.5000 0.7500 x2

Record 4
A plane-wave DFT calculation with GGA-PBE was carried out for a relaxed Y2Si5Rh3 crystal.

Computed properties:
For the total energy, the calculation gives -7.189 eV/atom.

Cell lengths 11.1285, 11.8182, 5.6999 Å; angles 90.00, 118.21, 90.00 degrees
Space group C2/c (No. 15)
Unique sites:
1 Y 0.2333 0.1337 0.2400 x8
2 Si 0.0000 0.0119 0.2500 x4
3 Si 0.0000 0.2761 0.2500 x4
4 Si 0.0000 0.2897 0.7500 x4
5 Si 0.1622 0.3958 0.1616 x8
6 Rh 0.0000 0.4983 0.7500 x4
7 Rh 0.1003 0.1397 0.6260 x8

Record 5
A plane-wave DFT calculation with GGA-PBE was carried out for a relaxed Y4SiRh crystal.

Computed properties:
For the total energy, the calculation gives -5.864 eV/atom.

Cell lengths 8.4472, 8.4472, 8.4472 Å; angles 90.00, 90.00, 90.00 degrees
Space group F-43m (No. 216)
Unique sites:
1 Y 0.1248 0.1248 0.1248 x16
2 Si 0.0000 0.0000 0.5000 x4
3 Rh 0.2500 0.2500 0.7500 x4

Record 6
A plane-wave DFT calculation with GGA-PBE was carried out for a relaxed Y3Si8Rh3 crystal.

Computed properties:
Its energy above the most stable polymorph in this dataset is 49 meV/atom. For the total energy, the calculation gives -6.718 eV/atom.

Cell lengths 4.1930, 9.4744, 11.6040 Å; angles 90.00, 90.00, 90.00 degrees
Space group Immm (No. 71)
Unique sites:
1 Y 0.0000 0.0000 0.0000 x2
2 Y 0.0000 0.0000 0.3117 x4
3 Si 0.0000 0.2882 0.1266 x8
4 Si 0.0000 0.3700 0.3324 x8
5 Rh 0.0000 0.2262 0.5000 x4
6 Rh 0.0000 0.5000 0.0000 x2

Record 7
A plane-wave DFT calculation with GGA-PBE was carried out for a relaxed YSi3Rh crystal.

Computed properties:
For the total energy, the calculation gives -5.964 eV/atom.

Cell lengths 4.6746, 4.6746, 4.6746 Å; angles 90.00, 90.00, 90.00 degrees
Space group Pm-3m (No. 221)
Unique sites:
1 Y 0.0000 0.0000 0.0000 x1
2 Si 0.0000 0.5000 0.5000 x3
3 Rh 0.5000 0.5000 0.5000 x1

Record 8
A plane-wave DFT calculation with GGA-PBE was carried out for a relaxed YSi4Rh2 crystal.

Computed properties:
For the total energy, the calculation gives -6.885 eV/atom.

Cell lengths 16.5562, 4.1632, 6.3813 Å; angles 90.00, 90.00, 90.00 degrees
Space group Pnma (No. 62)
Unique sites:
1 Y 0.1413 0.2500 0.0037 x4
2 Si 0.0329 0.7500 0.1388 x4
3 Si 0.0653 0.2500 0.5376 x4
4 Si 0.1817 0.7500 0.6879 x4
5 Si 0.1921 0.7500 0.2841 x4
6 Rh 0.0329 0.7500 0.7476 x4
7 Rh 0.2125 0.2500 0.4848 x4

Record 9
A plane-wave DFT calculation with GGA-PBE was carried out for a relaxed YSi2Rh crystal.

Computed properties:
For the total energy, the calculation gives -6.720 eV/atom.

Cell lengths 3.1225, 3.1225, 6.8380 Å; angles 90.00, 90.00, 90.00 degrees
Space group P4/mmm (No. 123)
Unique sites:
1 Y 0.0000 0.0000 0.0000 x1
2 Si 0.5000 0.5000 0.3013 x2
3 Rh 0.0000 0.0000 0.5000 x1

Record 10
A plane-wave DFT calculation with GGA-PBE was carried out for a relaxed Y4Si6Rh7 crystal.

Computed properties:
For the total energy, the calculation gives -7.494 eV/atom.

Cell lengths 8.2996, 8.2996, 8.2996 Å; angles 90.00, 90.00, 90.00 degrees
Space group Im-3m (No. 229)
Unique sites:
1 Y 0.2500 0.2500 0.2500 x8
2 Si 0.0000 0.0000 0.3304 x12
3 Rh 0.0000 0.0000 0.0000 x2
4 Rh 0.0000 0.2500 0.5000 x12

Record 11
A plane-wave DFT calculation with GGA-PBE was carried out for a relaxed YSi2Rh crystal.

Computed properties:
For the total energy, the calculation gives -6.481 eV/atom.

Cell lengths 6.5240, 6.5240, 6.5240 Å; angles 90.00, 90.00, 90.00 degrees
Space group F-43m (No. 216)
Unique sites:
1 Y 0.0000 0.0000 0.0000 x4
2 Si 0.0000 0.0000 0.5000 x4
3 Si 0.2500 0.2500 0.7500 x4
4 Rh 0.2500 0.2500 0.2500 x4

Record 12
A plane-wave DFT calculation with GGA-PBE was carried out for a relaxed YSiRh2 crystal.

Computed properties:
For the total energy, the calculation gives -7.275 eV/atom.

Cell lengths 3.2479, 4.4738, 5.0355 Å; angles 90.00, 107.24, 90.00 degrees
Space group Pm (No. 6)
Unique sites:
1 Y 0.0000 0.0000 0.0000 x1
2 Si 0.3703 0.5000 0.7049 x1
3 Rh 0.3099 0.0000 0.5315 x1
4 Rh 0.6859 0.5000 0.3045 x1

Record 13
A plane-wave DFT calculation with GGA-PBE was carried out for a relaxed Y3Si2Rh3 crystal.

Computed properties:
For the total energy, the calculation gives -7.562 eV/atom.

Cell lengths 7.5550, 14.7920, 5.5507 Å; angles 90.00, 90.00, 90.00 degrees
Space group Pnma (No. 62)
Unique sites:
1 Y 0.0267 0.1075 0.1332 x8
2 Y 0.1689 0.2500 0.6107 x4
3 Si 0.1232 0.6031 0.3724 x8
4 Rh 0.1686 0.0374 0.5996 x8
5 Rh 0.1805 0.7500 0.5940 x4

Record 14
A plane-wave DFT calculation with GGA-PBE was carried out for a relaxed YSi2Rh6 crystal.

Computed properties:
For the total energy, the calculation gives -6.988 eV/atom.

Cell lengths 10.9147, 10.9147, 10.9147 Å; angles 90.00, 90.00, 90.00 degrees
Space group Fd-3m (No. 227, origin choice 2)
Unique sites:
1 Y 0.1250 0.1250 0.1250 x8
2 Si 0.0000 0.0000 0.5000 x16
3 Rh 0.1222 0.3750 0.8750 x48

Record 15
A plane-wave DFT calculation with GGA-PBE was carried out for a relaxed Y3Si4Rh7 crystal.

Computed properties:
For the total energy, the calculation gives -7.634 eV/atom.

Cell lengths 15.1937, 4.0132, 9.2071 Å; angles 90.00, 124.95, 90.00 degrees
Space group C2/m (No. 12)
Unique sites:
1 Y 0.0000 0.0000 0.0000 x2
2 Y 0.1701 0.5000 0.6662 x4
3 Si 0.1127 0.0000 0.8357 x4
4 Si 0.1662 0.5000 0.2806 x4
5 Rh 0.0000 0.0000 0.5000 x2
6 Rh 0.0045 0.5000 0.2708 x4
7 Rh 0.1640 0.0000 0.4215 x4
8 Rh 0.1959 0.5000 0.0469 x4

Record 16
A plane-wave DFT calculation with GGA-PBE was carried out for a relaxed Y2ZnSi2Rh5 crystal.

Computed properties:
For the total energy, the calculation gives -7.089 eV/atom.

Cell lengths 9.7582, 9.7582, 3.4310 Å; angles 90.00, 90.00, 90.00 degrees
Space group P4/mbm (No. 127)
Unique sites:
1 Y 0.1741 0.3259 0.0000 x4
2 Zn 0.0000 0.0000 0.0000 x2
3 Si 0.1257 0.6257 0.0000 x4
4 Rh 0.0000 0.5000 0.5000 x2
5 Rh 0.0680 0.7890 0.5000 x8

Record 17
A plane-wave DFT calculation with GGA-PBE was carried out for a relaxed YZrSi2Rh crystal.

Computed properties:
For the total energy, the calculation gives -5.038 eV/atom.

Cell lengths 5.0344, 5.0344, 5.0593 Å; angles 90.00, 90.00, 90.00 degrees
Space group P4/mmm (No. 123)
Unique sites:
1 Y 0.0000 0.0000 0.0000 x1
2 Zr 0.0000 0.0000 0.5000 x1
3 Si 0.0000 0.5000 0.0000 x2
4 Rh 0.5000 0.5000 0.5000 x1

Record 18
A plane-wave DFT calculation with GGA-PBE was carried out for a relaxed ZnSiRh crystal.

Computed properties:
For the total energy, the calculation gives -4.957 eV/atom.

Cell lengths 5.6859, 5.6859, 5.6859 Å; angles 90.00, 90.00, 90.00 degrees
Space group F-43m (No. 216)
Unique sites:
1 Zn 0.0000 0.0000 0.0000 x4
2 Si 0.2500 0.2500 0.7500 x4
3 Rh 0.0000 0.0000 0.5000 x4

Record 19
A plane-wave DFT calculation with GGA-PBE was carried out for a relaxed Zn2SiRh crystal.

Computed properties:
For the total energy, the calculation gives -4.025 eV/atom.

Cell lengths 2.7882, 4.6862, 4.3795 Å; angles 90.00, 94.42, 90.00 degrees
Space group P2/m (No. 10)
Unique sites:
1 Zn 0.2235 0.0000 0.2555 x2
2 Si 0.0000 0.5000 0.0000 x1
3 Rh 0.5000 0.5000 0.5000 x1

Record 20
A plane-wave DFT calculation with GGA-PBE was carried out for a relaxed ZnSiRh crystal.

Computed properties:
For the total energy, the calculation gives -4.944 eV/atom.

Cell lengths 2.8651, 2.8651, 6.0971 Å; angles 90.00, 90.00, 120.00 degrees
Space group P3m1 (No. 156)
Unique sites:
1 Zn 0.0000 0.0000 0.0000 x1
2 Si 0.3333 0.6667 0.6392 x1
3 Rh 0.6667 0.3333 0.3502 x1

Record 21
A plane-wave DFT calculation with GGA-PBE was carried out for a relaxed Zn2SiRh crystal.

Computed properties:
For the total energy, the calculation gives -3.948 eV/atom.

Cell lengths 6.0566, 6.0566, 6.0566 Å; angles 90.00, 90.00, 90.00 degrees
Space group F-43m (No. 216)
Unique sites:
1 Zn 0.0000 0.0000 0.0000 x4
2 Zn 0.2500 0.2500 0.2500 x4
3 Si 0.0000 0.0000 0.5000 x4
4 Rh 0.2500 0.2500 0.7500 x4

Record 22
A plane-wave DFT calculation with GGA-PBE was carried out for a relaxed Zn2SiRh crystal.

Computed properties:
For the total energy, the calculation gives -4.121 eV/atom.

Cell lengths 2.9545, 3.5516, 5.3310 Å; angles 90.00, 90.00, 90.00 degrees
Space group Pmm2 (No. 25)
Unique sites:
1 Zn 0.0000 0.0000 0.0000 x1
2 Zn 0.5000 0.5000 0.2266 x1
3 Si 0.5000 0.5000 0.7136 x1
4 Rh 0.0000 0.0000 0.5145 x1